BaLi3Ag, relaxed, DFT GGA-PBEsol; space group = No. 221; size of the total moment = 0.00 μB per formula unit; crystal system = cubic; uncorrected energy = -2.26 eV/atom
1.0
5.1515 0.0000 0.0000
0.0000 5.1515 0.0000
0.0000 0.0000 5.1515
Ba Li Ag
1 3 1
Direct
0.0000 0.0000 0.0000
0.0000 0.5000 0.5000
0.5000 0.0000 0.5000
0.5000 0.5000 0.0000
0.5000 0.5000 0.5000


Ba2LiAg2, relaxed, DFT GGA-PBEsol; space group = No. 127; size of the total moment = 0.00 μB per formula unit; crystal system = tetragonal; relative energy among the computed polymorphs = 0.000 eV/atom; uncorrected energy = -2.73 eV/atom
1.0
8.4582 0.0000 0.0000
0.0000 8.4582 0.0000
0.0000 0.0000 4.5809
Ba Li Ag
4 2 4
Direct
0.1760 0.3240 0.0000
0.3240 0.8240 0.0000
0.6760 0.1760 0.0000
0.8240 0.6760 0.0000
0.0000 0.0000 0.5000
0.5000 0.5000 0.5000
0.1188 0.6188 0.5000
0.3812 0.1188 0.5000
0.6188 0.8812 0.5000
0.8812 0.3812 0.5000


Ba2MgAg, relaxed, DFT GGA-PBEsol; space group = No. 38; size of the total moment = 0.00 μB per formula unit; crystal system = orthorhombic; uncorrected energy = -2.44 eV/atom
1.0
4.9096 0.0000 0.0000
0.0000 4.8948 0.0000
0.0000 0.0000 12.7055
Ba Mg Ag
4 2 2
Direct
0.0000 0.0000 0.0000
0.0000 0.5000 0.5000
0.5000 0.0000 0.2876
0.5000 0.5000 0.7876
0.5000 0.0000 0.5859
0.5000 0.5000 0.0859
0.0000 0.0000 0.7007
0.0000 0.5000 0.2007


BaMg2Ag, relaxed, DFT GGA-PBEsol; space group = No. 12; size of the total moment = 0.00 μB per formula unit; crystal system = monoclinic; uncorrected energy = -2.31 eV/atom
1.0
8.2996 0.0000 0.0000
0.0000 4.7900 0.0000
-2.7498 0.0000 6.0461
Ba Mg Ag
2 4 2
Direct
0.0000 0.0000 0.0000
0.5000 0.5000 0.0000
0.1991 0.0000 0.5976
0.3009 0.5000 0.4024
0.6991 0.5000 0.5976
0.8009 0.0000 0.4024
0.0000 0.5000 0.5000
0.5000 0.0000 0.5000


BaMg2Ag2, relaxed, DFT GGA-PBEsol; space group = No. 139; size of the total moment = 0.00 μB per formula unit; crystal system = tetragonal; uncorrected energy = -2.58 eV/atom
1.0
5.0249 0.0000 0.0000
0.0000 5.0249 0.0000
0.0000 0.0000 10.5008
Ba Mg Ag
2 4 4
Direct
0.0000 0.0000 0.0000
0.5000 0.5000 0.5000
0.0000 0.0000 0.3546
0.0000 0.0000 0.6454
0.5000 0.5000 0.1454
0.5000 0.5000 0.8546
0.0000 0.5000 0.2500
0.0000 0.5000 0.7500
0.5000 0.0000 0.2500
0.5000 0.0000 0.7500


Ba2MgAg, relaxed, DFT GGA-PBEsol; space group = No. 44; size of the total moment = 0.00 μB per formula unit; crystal system = orthorhombic; uncorrected energy = -2.41 eV/atom
1.0
4.0561 0.0000 0.0000
0.0000 5.8422 0.0000
0.0000 0.0000 11.8031
Ba Mg Ag
4 2 2
Direct
0.0000 0.0000 0.0000
0.0000 0.5000 0.1924
0.5000 0.0000 0.6924
0.5000 0.5000 0.5000
0.0000 0.5000 0.7898
0.5000 0.0000 0.2898
0.0000 0.0000 0.4493
0.5000 0.5000 0.9493


Ba2MgAg, relaxed, DFT GGA-PBEsol; space group = No. 99; size of the total moment = 0.00 μB per formula unit; crystal system = tetragonal; uncorrected energy = -2.40 eV/atom
1.0
3.8834 0.0000 0.0000
0.0000 3.8834 0.0000
0.0000 0.0000 9.4615
Ba Mg Ag
2 1 1
Direct
0.0000 0.0000 0.0000
0.5000 0.5000 0.3876
0.0000 0.0000 0.6450
0.5000 0.5000 0.7636


BaMg2Ag, relaxed, DFT GGA-PBEsol; space group = No. 160; size of the total moment = 0.00 μB per formula unit; crystal system = trigonal; uncorrected energy = -2.34 eV/atom
1.0
4.8880 0.0000 0.0000
-2.4440 4.2332 0.0000
0.0000 0.0000 17.4559
Ba Mg Ag
3 6 3
Direct
0.0000 0.0000 0.0000
0.3333 0.6667 0.6667
0.6667 0.3333 0.3333
0.0000 0.0000 0.1981
0.0000 0.0000 0.4759
0.3333 0.6667 0.1426
0.3333 0.6667 0.8647
0.6667 0.3333 0.5314
0.6667 0.3333 0.8093
0.0000 0.0000 0.8080
0.3333 0.6667 0.4746
0.6667 0.3333 0.1413


> What is the size of the total moment in the fourth record?

0.00 μB per formula unit